[1]
Here is a geometry-optimized KHgCl structure from Alexandria via LeMat-Bulk. Energies are from PBE.

It has space group C2/m (No. 12), with a = 6.253 Å, b = 6.245 Å, c = 11.704 Å, α = 90.00°, β = 102.63° and γ = 90.00°. The distinct sites, in fractional coordinates, are K at (0.193, 0.000, 0.362), Hg at (0.234, 0.000, 0.945) and Cl at (0.191, 0.500, 0.360).

The density of states at the Fermi level is 0.0 states/eV/cell. The raw formation energy is -3.71 eV per formula unit. The value obtained for the energy above the most stable polymorph in this dataset is 0.000 eV/atom.



[2]
Here is a geometry-optimized AcSm2Pd9 structure from Alexandria via LeMat-Bulk. Energies are from PBE.

It has space group P4/mmm (No. 123), with a = 4.229 Å, b = 4.229 Å, c = 12.622 Å, α = 90.00°, β = 90.00° and γ = 90.00°. The distinct sites, in fractional coordinates, are Ac at (0.000, 0.000, 0.000), Sm at (0.000, 0.000, 0.338), Pd at (0.000, 0.500, 0.174), Pd at (0.000, 0.500, 0.500), Pd at (0.500, 0.500, 0.000) and Pd at (0.500, 0.500, 0.337).

The density of states at the Fermi level is 7.9 states/eV/cell. For the uncorrected energy, the calculation gives -5.80 eV per atom.



[3]
Here is a geometry-optimized ZrTi2S structure from Alexandria via LeMat-Bulk. Energies are from PBE.

It has space group Cmcm (No. 63), with a = 3.498 Å, b = 9.712 Å, c = 7.757 Å, α = 90.00°, β = 90.00° and γ = 90.00°. The distinct sites, in fractional coordinates, are Zr at (0.000, 0.049, 0.250), Ti at (0.000, 0.355, 0.049) and S at (0.000, 0.236, 0.750).

The density of states at the Fermi level is 10.3 states/eV/cell. The raw formation energy is -3.49 eV per formula unit.



[4]
Here is a geometry-optimized RhPbSe2 structure from Alexandria via LeMat-Bulk. Energies are from PBE.

It has space group I4/mmm (No. 139), with a = 5.688 Å, b = 5.688 Å, c = 5.522 Å, α = 90.00°, β = 90.00° and γ = 90.00°. The distinct sites, in fractional coordinates, are Rh at (0.000, 0.000, 0.000), Pb at (0.000, 0.000, 0.500) and Se at (0.000, 0.500, 0.000).

The density of states at the Fermi level is 6.5 states/eV/cell. The raw formation energy is 0.36 eV per formula unit.



[5]
Here is a geometry-optimized AgAsBr2 structure from Alexandria via LeMat-Bulk. Energies are from PBE.

It has space group Cmmm (No. 65), with a = 3.647 Å, b = 6.513 Å, c = 8.513 Å, α = 90.00°, β = 90.00° and γ = 90.00°. The distinct sites, in fractional coordinates, are Ag at (0.000, 0.000, 0.000), As at (0.000, 0.000, 0.500) and Br at (0.000, 0.500, 0.241).

The density of states at the Fermi level is 3.9 states/eV/cell. The raw formation energy is 0.84 eV per formula unit. The value obtained for the energy above the most stable polymorph in this dataset is 0.346 eV/atom.



[6]
Here is a geometry-optimized LaGeSeN2 structure from Alexandria via LeMat-Bulk. Energies are from PBE.

It has space group P4/mmm (No. 123), with a = 4.080 Å, b = 4.080 Å, c = 5.020 Å, α = 90.00°, β = 90.00° and γ = 90.00°. The distinct sites, in fractional coordinates, are La at (0.000, 0.000, 0.000), Ge at (0.500, 0.500, 0.500), Se at (0.500, 0.500, 0.000) and N at (0.000, 0.500, 0.500).

The density of states at the Fermi level is 1.3 states/eV/cell. The raw formation energy is 0.18 eV per formula unit. The value obtained for the energy above the most stable polymorph in this dataset is 0.000 eV/atom.



[7]
Here is a geometry-optimized Ba2NiRu structure from Alexandria via LeMat-Bulk. Energies are from PBE.

It has space group Amm2 (No. 38), with a = 4.393 Å, b = 4.926 Å, c = 11.139 Å, α = 90.00°, β = 90.00° and γ = 90.00°. The distinct sites, in fractional coordinates, are Ba at (0.000, 0.000, 0.000), Ba at (0.500, 0.000, 0.291), Ni at (0.000, 0.000, 0.687) and Ru at (0.500, 0.000, 0.615).

The density of states at the Fermi level is 6.8 states/eV/cell. The value obtained for the energy above the most stable polymorph in this dataset is 0.071 eV/atom.



[8]
Here is a geometry-optimized CsRuI6 structure from Alexandria via LeMat-Bulk. Energies are from PBE.

It has space group C2/m (No. 12), with a = 8.859 Å, b = 9.847 Å, c = 8.082 Å, α = 90.00°, β = 102.52° and γ = 90.00°. The distinct sites, in fractional coordinates, are Cs at (0.000, 0.000, 0.000), Ru at (0.000, 0.500, 0.500), I at (0.136, 0.312, 0.730) and I at (0.248, 0.000, 0.630).

The density of states at the Fermi level is 18.2 states/eV/cell. The raw formation energy is -2.65 eV per formula unit.



[9]
Here is a geometry-optimized VGe3Os structure from Alexandria via LeMat-Bulk. Energies are from PBE.

It has space group Pm-3m (No. 221), with a = 4.794 Å, b = 4.794 Å, c = 4.794 Å, α = 90.00°, β = 90.00° and γ = 90.00°. The distinct sites, in fractional coordinates, are V at (0.000, 0.000, 0.000), Ge at (0.000, 0.500, 0.500) and Os at (0.500, 0.500, 0.500).

The density of states at the Fermi level is 10.3 states/eV/cell. The value obtained for the energy above the most stable polymorph in this dataset is 0.000 eV/atom.



[10]
Here is a geometry-optimized Rb2Pu2US6 structure from Alexandria via LeMat-Bulk. Energies are from PBE.

It has space group C2/m (No. 12), with a = 7.056 Å, b = 12.174 Å, c = 8.173 Å, α = 90.00°, β = 106.90° and γ = 90.00°. The distinct sites, in fractional coordinates, are Rb at (0.000, 0.169, 0.000), Pu at (0.000, 0.334, 0.500), U at (0.000, 0.000, 0.500), S at (0.223, 0.163, 0.684) and S at (0.240, 0.500, 0.684).

The density of states at the Fermi level is 50.6 states/eV/cell. The raw formation energy is -17.10 eV per formula unit.



[11]
Here is a geometry-optimized Ni3Te2Se2 structure from Alexandria via LeMat-Bulk. Energies are from PBE.

It has space group C2/m (No. 12), with a = 12.850 Å, b = 3.670 Å, c = 5.857 Å, α = 90.00°, β = 101.25° and γ = 90.00°. The distinct sites, in fractional coordinates, are Ni at (0.000, 0.000, 0.000), Ni at (0.207, 0.000, 0.667), Te at (0.073, 0.500, 0.731) and Se at (0.172, 0.000, 0.254).

The density of states at the Fermi level is 9.8 states/eV/cell. The raw formation energy is -1.10 eV per formula unit. The value obtained for the energy above the most stable polymorph in this dataset is 0.000 eV/atom.



[12]
Here is a geometry-optimized Ir2Os3W structure from Alexandria via LeMat-Bulk. Energies are from PBE.

It has space group C2/m (No. 12), with a = 11.632 Å, b = 3.889 Å, c = 8.707 Å, α = 90.00°, β = 116.59° and γ = 90.00°. The distinct sites, in fractional coordinates, are Ir at (0.039, 0.000, 0.374), Ir at (0.210, 0.500, 0.374), Os at (0.043, 0.500, 0.880), Os at (0.124, 0.000, 0.121), Os at (0.209, 0.000, 0.878) and W at (0.129, 0.500, 0.630).

The density of states at the Fermi level is 20.5 states/eV/cell. For the uncorrected energy, the calculation gives -10.76 eV per atom.



[13]
Here is a geometry-optimized TbNd3Y4 structure from Alexandria via LeMat-Bulk. Energies are from PBE.

It has space group Pmn2_1 (No. 31), with a = 11.551 Å, b = 7.360 Å, c = 6.350 Å, α = 90.00°, β = 90.00° and γ = 90.00°. The distinct sites, in fractional coordinates, are Tb at (0.000, 0.128, 0.000), Nd at (0.000, 0.874, 0.501), Nd at (0.250, 0.125, 0.331), Y at (0.000, 0.377, 0.498), Y at (0.000, 0.624, 0.998) and Y at (0.249, 0.377, 0.834).

The density of states at the Fermi level is 30.0 states/eV/cell. The value obtained for the energy above the most stable polymorph in this dataset is 0.000 eV/atom.



[14]
Here is a geometry-optimized KSrGaF6 structure from Alexandria via LeMat-Bulk. Energies are from PBE.

It has space group P-31c (No. 163), with a = 6.0347 Å, b = 6.0347 Å, c = 9.9830 Å, α = 90.00°, β = 90.00° and γ = 120.00°. The distinct sites, in fractional coordinates, are K at (0.0000, 0.0000, 0.0000), Sr at (0.3333, 0.6667, 0.2500), Ga at (0.3333, 0.6667, 0.7500) and F at (0.0623, 0.4046, 0.6425).

The density of states at the Fermi level is 0.0 states/eV/cell. The raw formation energy is -28.20 eV per formula unit.



[15]
Here is a geometry-optimized Tb4Ga3Pd structure from Alexandria via LeMat-Bulk. Energies are from PBE.

It has space group Pmm2 (No. 25), with a = 3.895 Å, b = 4.366 Å, c = 11.195 Å, α = 90.00°, β = 90.00° and γ = 90.00°. The distinct sites, in fractional coordinates, are Tb at (0.000, 0.000, 0.000), Tb at (0.000, 0.500, 0.275), Tb at (0.500, 0.000, 0.484), Tb at (0.500, 0.500, 0.783), Ga at (0.000, 0.000, 0.709), Ga at (0.000, 0.500, 0.560), Ga at (0.500, 0.500, 0.056) and Pd at (0.500, 0.000, 0.211).

The density of states at the Fermi level is 6.4 states/eV/cell. For the uncorrected energy, the calculation gives -4.76 eV per atom.



[16]
Here is a geometry-optimized TaTiVCu structure from Alexandria via LeMat-Bulk. Energies are from PBE.

It has space group F-43m (No. 216), with a = 6.229 Å, b = 6.229 Å, c = 6.229 Å, α = 90.00°, β = 90.00° and γ = 90.00°. The distinct sites, in fractional coordinates, are Ta at (0.000, 0.000, 0.000), Ti at (0.000, 0.000, 0.500), V at (0.250, 0.250, 0.750) and Cu at (0.250, 0.250, 0.250).

The density of states at the Fermi level is 14.1 states/eV/cell. For the uncorrected energy, the calculation gives -8.15 eV per atom.



[17]
Here is a geometry-optimized Ni3GeTe5 structure from Alexandria via LeMat-Bulk. Energies are from PBE.

It has space group P2/m (No. 10), with a = 6.331 Å, b = 3.934 Å, c = 15.826 Å, α = 90.00°, β = 90.20° and γ = 90.00°. The distinct sites, in fractional coordinates, are Ni at (0.000, 0.000, 0.000), Ni at (0.007, 0.000, 0.668), Ni at (0.493, 0.500, 0.828), Ni at (0.500, 0.500, 0.500), Ge at (0.360, 0.000, 0.741), Te at (0.142, 0.500, 0.243), Te at (0.142, 0.500, 0.906), Te at (0.144, 0.500, 0.578), Te at (0.368, 0.000, 0.078) and Te at (0.372, 0.000, 0.402).

The density of states at the Fermi level is 10.9 states/eV/cell. The raw formation energy is -1.53 eV per formula unit.



[18]
Here is a geometry-optimized Tc2As2P structure from Alexandria via LeMat-Bulk. Energies are from PBE.

It has space group I4/mmm (No. 139), with a = 3.751 Å, b = 3.751 Å, c = 11.976 Å, α = 90.00°, β = 90.00° and γ = 90.00°. The distinct sites, in fractional coordinates, are Tc at (0.000, 0.000, 0.114), As at (0.000, 0.500, 0.250) and P at (0.000, 0.000, 0.500).

The density of states at the Fermi level is 8.9 states/eV/cell. The value obtained for the energy above the most stable polymorph in this dataset is 0.260 eV/atom.



[19]
Here is a geometry-optimized Sr2CdPt2 structure from Alexandria via LeMat-Bulk. Energies are from PBE.

It has space group I4/mmm (No. 139), with a = 5.937 Å, b = 5.937 Å, c = 8.083 Å, α = 90.00°, β = 90.00° and γ = 90.00°. The distinct sites, in fractional coordinates, are Sr at (0.000, 0.500, 0.250), Cd at (0.000, 0.000, 0.000) and Pt at (0.000, 0.000, 0.338).

The density of states at the Fermi level is 4.6 states/eV/cell. For the uncorrected energy, the calculation gives -3.85 eV per atom.



[20]
Here is a geometry-optimized AcAlGa2Cu4 structure from Alexandria via LeMat-Bulk. Energies are from PBE.

It has space group R-3m (No. 166, hexagonal axes), with a = 4.2137 Å, b = 4.2137 Å, c = 27.1689 Å, α = 90.00°, β = 90.00° and γ = 120.00°. The distinct sites, in fractional coordinates, are Ac at (0.0000, 0.0000, 0.0000), Al at (0.0000, 0.0000, 0.5000), Ga at (0.0000, 0.0000, 0.2412), Cu at (0.0000, 0.0000, 0.1360) and Cu at (0.0000, 0.0000, 0.4105).

The density of states at the Fermi level is 8.8 states/eV/cell. For the uncorrected energy, the calculation gives -4.02 eV per atom.